A geometry-optimized Zr3TaMn structure. Source: Alexandria via LeMat-Bulk, functional GGA-PBEsol.

Computed properties:
As for the space-group type: No. 221. For the raw total energy, the calculation gives -8.658 eV/atom. For the size of the total moment, the calculation gives 0.70 μB per atom. The formation energy comes out at 1.258 eV per atom.

abc: 5.0258 5.0258 5.0258
angles: 90.00 90.00 90.00
Last column: nearest neighbours and their distance in Å.
Sites, in units of the cell vectors:
Mn 0.5000 0.5000 0.5000  12 Zr 3.55
Zr 0.0000 0.5000 0.0000  2 Ta 2.51
Zr 0.0000 0.0000 0.5000  2 Ta 2.51
Zr 0.5000 0.0000 0.0000  2 Ta 2.51
Ta 0.0000 0.0000 0.0000  6 Zr 2.51